Below is a relaxed NiHg2Pb crystal, with properties calculated at the PBE-GGA level.

The energy of formation is 0.356 eV per atom. As for the uncorrected energy: -17.3 eV for the cell shown. As for the crystal system: tetragonal. As for the size of the total moment: 0.0 Bohr magnetons per cell.

It has space group I-4m2 (No. 119), with a = 4.5560 Å, b = 4.5560 Å, c = 8.4614 Å, α = 90.00°, β = 90.00° and γ = 90.00°. The distinct sites, in fractional coordinates, are Ni at (0.0000, 0.0000, 0.0000), Hg at (0.0000, 0.0000, 0.5000), Hg at (0.0000, 0.5000, 0.2500) and Pb at (0.0000, 0.5000, 0.7500).